# CaYHg2 (GGA-PBE, optimized geometry)
# ΔH_f (0 K) = -36.50 kJ per mole of atoms
# total magnetic moment = 0.00 μB/cell
# DFT total energy = -21.17 eV for the cell shown
# crystal system = orthorhombic
data_CaYHg2
_chemical_formula_sum 'Ca2 Y2 Hg4'
_symmetry_space_group_name_H-M 'I m m 2'
_symmetry_Int_Tables_number 44
_symmetry_space_group_name_Hall 'I 2 -2'
_cell_length_a 3.687
_cell_length_b 5.244
_cell_length_c 11.162
_cell_angle_alpha 90.00
_cell_angle_beta 90.00
_cell_angle_gamma 90.00
loop_
_atom_site_label
_atom_site_type_symbol
_atom_site_fract_x
_atom_site_fract_y
_atom_site_fract_z
Ca1 Ca 0.000 0.000 0.000
Y1 Y 0.000 0.500 0.214
Hg1 Hg 0.000 0.000 0.482
Hg2 Hg 0.000 0.500 0.760

---

# Ni2Pt5Rh (GGA-PBE, optimized geometry)
# ΔH_f (0 K) = 9.64 kJ per mole of atoms
# total magnetic moment = 0.00 μB/cell
# DFT total energy = -193.27 eV for the cell shown
# crystal system = tetragonal
data_Ni2Pt5Rh
_chemical_formula_sum 'Ni8 Pt20 Rh4'
_symmetry_space_group_name_H-M 'I 4/m c m'
_symmetry_Int_Tables_number 140
_symmetry_space_group_name_Hall '-I 4 2c'
_cell_length_a 6.570
_cell_length_b 6.570
_cell_length_c 10.889
_cell_angle_alpha 90.00
_cell_angle_beta 90.00
_cell_angle_gamma 90.00
loop_
_atom_site_label
_atom_site_type_symbol
_atom_site_fract_x
_atom_site_fract_y
_atom_site_fract_z
Ni1 Ni 0.138 0.362 0.000
Pt1 Pt 0.000 0.000 0.000
Pt2 Pt 0.155 0.345 0.345
Rh1 Rh 0.000 0.000 0.250

---

# InH2Pd2 (GGA-PBE, optimized geometry)
# total magnetic moment = 0.00 μB/cell
# DFT total energy = -40.74 eV for the cell shown
# crystal system = tetragonal
data_InH2Pd2
_chemical_formula_sum 'In2 H4 Pd4'
_symmetry_space_group_name_H-M 'P 4/m b m'
_symmetry_Int_Tables_number 127
_symmetry_space_group_name_Hall '-P 4 2ab'
_cell_length_a 5.973
_cell_length_b 5.973
_cell_length_c 3.465
_cell_angle_alpha 90.00
_cell_angle_beta 90.00
_cell_angle_gamma 90.00
loop_
_atom_site_label
_atom_site_type_symbol
_atom_site_fract_x
_atom_site_fract_y
_atom_site_fract_z
In1 In 0.000 0.000 0.000
H1 H 0.132 0.368 0.000
Pd1 Pd 0.168 0.332 0.500

---

| no. | mass density (Mg/m³) |
| --- | --- |
| 1 | 8.2 |
| 2 | 16.9 |
| 3 | 8.9 |